## Cs2Ag2GeBr6 (PBE)

Data for a relaxed structure of Cs2Ag2GeBr6.

Properties
The value obtained for the energy relative to the elements, uncorrected is -924 meV per atom.

```
data_Cs2Ag2GeBr6
_chemical_formula_sum 'Cs4 Ag4 Ge2 Br12'
_symmetry_space_group_name_H-M 'C 1 2/m 1'
_symmetry_Int_Tables_number 12
_cell_length_a 14.317
_cell_length_b 8.145
_cell_length_c 8.102
_cell_angle_alpha 90.00
_cell_angle_beta 119.98
_cell_angle_gamma 90.00
loop_
_symmetry_equiv_pos_as_xyz
'x,y,z'
'-x,-y,-z'
'-x,y,-z'
'x,-y,z'
'x+1/2,y+1/2,z'
'-x+1/2,-y+1/2,-z'
'-x+1/2,y+1/2,-z'
'x+1/2,-y+1/2,z'
loop_
_atom_site_label
_atom_site_type_symbol
_atom_site_fract_x
_atom_site_fract_y
_atom_site_fract_z
Cs1 Cs 0.234 0.000 0.206
Ag1 Ag 0.065 0.500 0.212
Ge1 Ge 0.000 0.000 0.500
Br1 Br 0.039 0.236 0.784
Br2 Br 0.226 0.000 0.657
```